Density functional theory data (PBE-GGA) for a relaxed NiP2Br crystal.

Cell lengths 4.647, 4.647, 2.898 Å; angles 90.00, 90.00, 90.00 degrees
Atoms (fractional coordinates):
Ni: 0.000 0.500 0.500
Br: 0.500 0.000 0.500
P: 0.500 0.500 0.000
P: 0.000 0.000 0.000

Values from the calculation:
formation energy (no corrections) = 913 meV per atom